Computed, not measured: a relaxed AgRh2Cl crystal at the GGA-PBE level of DFT.

a b c (Å): 4.549 4.549 4.549
angles (deg): 60.00 60.00 60.00
Sites, in units of the cell vectors:
Ag 0.000 0.000 0.000
Rh 0.250 0.250 0.250
Rh 0.500 0.500 0.500
Cl 0.750 0.750 0.750

Values from the calculation:
- Crystal system: cubic
- Raw formation energy: 650 meV/atom
- Theoretical density: 8.7 g/cm3

---

Computed, not measured: a relaxed Sr2YAg crystal at the GGA-PBE level of DFT.

a b c (Å): 7.195 7.195 7.195
angles (deg): 148.46 130.41 59.96
Sites, in units of the cell vectors:
Sr 0.000 0.000 0.000
Sr 0.700 0.200 0.500
Y 0.301 0.801 0.500
Ag 0.484 0.484 0.000

Values from the calculation:
- Formation energy from the elements: -2.2 kJ/mol of formula units
- Crystal system: orthorhombic
- Theoretical density: 4.2 g/cm3

---

Computed, not measured: a relaxed Cd3PIr crystal at the GGA-PBE level of DFT.

a b c (Å): 4.878 4.878 4.878
angles (deg): 90.00 90.00 90.00
Sites, in units of the cell vectors:
Cd 0.000 0.000 0.500
Cd 0.000 0.500 0.000
Cd 0.500 0.000 0.000
P 0.000 0.000 0.000
Ir 0.500 0.500 0.500

Values from the calculation:
- Formation energy from the elements: 447.6 kJ/mol of formula units
- Crystal system: cubic
- Theoretical density: 8.0 g/cm3

---

Computed, not measured: a relaxed Sn2PAu2 crystal at the GGA-PBE level of DFT.

a b c (Å): 7.557 7.557 3.977
angles (deg): 90.00 90.00 90.00
Sites, in units of the cell vectors:
Sn 0.180 0.320 0.000
Sn 0.320 0.820 0.000
Sn 0.680 0.180 0.000
Sn 0.820 0.680 0.000
P 0.000 0.000 0.000
P 0.500 0.500 0.000
Au 0.130 0.630 0.500
Au 0.370 0.130 0.500
Au 0.630 0.870 0.500
Au 0.870 0.370 0.500

Values from the calculation:
- Formation energy from the elements: 99.4 kJ/mol of formula units
- Crystal system: tetragonal
- Theoretical density: 9.7 g/cm3

---

Computed, not measured: a relaxed RbPrSn2I8 crystal at the GGA-PBE level of DFT.

a b c (Å): 7.429 7.902 9.791
angles (deg): 89.83 89.82 88.99
Sites, in units of the cell vectors:
Rb 0.000 0.000 0.000
Pr 0.000 0.000 0.500
Sn 0.500 0.500 0.248
Sn 0.500 0.500 0.752
I 0.244 0.331 0.499
I 0.258 0.839 0.722
I 0.258 0.840 0.278
I 0.271 0.376 0.002
I 0.729 0.624 0.998
I 0.742 0.160 0.722
I 0.742 0.161 0.278
I 0.756 0.669 0.501

Values from the calculation:
- Crystal system: triclinic
- Raw formation energy: -929 meV/atom
- Theoretical density: 4.3 g/cm3

---

Computed, not measured: a relaxed Re2HgSbRh crystal at the GGA-PBE level of DFT.

a b c (Å): 4.758 4.758 5.029
angles (deg): 90.00 90.00 90.00
Sites, in units of the cell vectors:
Re 0.000 0.500 0.000
Re 0.500 0.000 0.000
Hg 0.000 0.000 0.500
Sb 0.500 0.500 0.500
Rh 0.000 0.000 0.000

Values from the calculation:
- Crystal system: tetragonal
- Raw formation energy: 1694 meV/atom
- Theoretical density: 11.6 g/cm3

---

Computed, not measured: a relaxed TaTeAs2 crystal at the GGA-PBE level of DFT.

a b c (Å): 6.168 6.168 6.168
angles (deg): 147.68 133.91 57.41
Sites, in units of the cell vectors:
Ta 0.000 0.000 0.000
Te 0.500 0.500 0.000
As 0.190 0.690 0.500
As 0.810 0.310 0.500

Values from the calculation:
- Crystal system: orthorhombic
- Raw formation energy: 284 meV/atom
- Theoretical density: 8.5 g/cm3

---

Computed, not measured: a relaxed Tb6Y2ErSc3 crystal at the GGA-PBE level of DFT.

a b c (Å): 6.055 6.055 11.458
angles (deg): 95.04 95.04 119.96
Sites, in units of the cell vectors:
Tb 0.087 0.419 0.759
Tb 0.246 0.246 0.241
Tb 0.419 0.087 0.759
Tb 0.581 0.913 0.241
Tb 0.754 0.754 0.759
Tb 0.913 0.581 0.241
Y 0.333 0.667 0.500
Y 0.667 0.333 0.500
Er 0.000 0.000 0.500
Sc 0.167 0.833 0.000
Sc 0.500 0.500 0.000
Sc 0.833 0.167 0.000

Values from the calculation:
- Formation energy from the elements: 51.7 kJ/mol of formula units
- Crystal system: monoclinic
- Theoretical density: 6.6 g/cm3